Compound: TaCu4Au
Source: Alexandria via LeMat-Bulk
Functional: meta-GGA SCAN
Structure: PBEsol geometry

Cell and atoms, written as POSCAR:
```
TaCu4Au
1.0
0.000 3.383 3.383
3.383 0.000 3.383
3.383 3.383 0.000
Ta Cu Au
1 4 1
Cartesian
0.000 0.000 0.000
2.537 2.537 2.537
4.230 4.230 2.537
4.230 2.537 4.230
2.537 4.230 4.230
5.075 5.075 5.075
```

Calculated values
calculated volume: 12.9 Å³/atom
symmetry: F-43m (216)
M_tot: 0.000 μB per formula unit

***

Compound: PIrAu2
Source: Alexandria via LeMat-Bulk
Functional: meta-GGA SCAN
Structure: PBEsol geometry

Cell and atoms, written as POSCAR:
```
PIrAu2
1.0
3.738 0.000 0.000
0.000 3.738 0.000
0.000 0.000 4.476
P Ir Au
1 1 2
Cartesian
0.000 0.000 0.000
1.869 1.869 0.000
0.000 1.869 2.238
1.869 0.000 2.238
```

Calculated values
calculated volume: 15.6 Å³/atom
symmetry: P4/mmm (123)
M_tot: 0.000 μB per formula unit

***

Compound: Cr2NiAs
Source: Alexandria via LeMat-Bulk
Functional: meta-GGA SCAN
Structure: PBEsol geometry

Cell and atoms, written as POSCAR:
```
Cr2NiAs
1.0
2.620 0.000 0.000
0.000 3.757 0.000
-0.961 0.000 4.806
Cr Ni As
2 1 1
Cartesian
-0.062 0.000 1.148
1.720 0.000 3.658
1.310 1.878 0.000
0.829 1.878 2.403
```

Calculated values
calculated volume: 11.8 Å³/atom
symmetry: P2/m (10)
M_tot: 0.002 μB per formula unit

***

Compound: Er6Mn23
Source: Alexandria via LeMat-Bulk
Functional: meta-GGA SCAN
Structure: PBEsol geometry

Cell and atoms, written as POSCAR:
```
Er6Mn23
1.0
0.000 5.828 5.828
5.828 0.000 5.828
5.828 5.828 0.000
Er Mn
6 23
Cartesian
5.828 5.828 2.385
5.828 2.385 5.828
9.271 5.828 5.828
2.385 5.828 5.828
5.828 9.271 5.828
5.828 5.828 9.271
2.914 2.914 0.000
2.914 0.000 2.914
5.828 2.914 2.914
7.246 4.410 4.410
2.063 2.063 2.063
3.765 3.765 2.063
3.765 2.063 3.765
4.410 4.410 4.410
7.246 7.246 4.410
7.246 4.410 7.246
2.063 3.765 3.765
0.000 2.914 2.914
2.914 5.828 2.914
2.914 2.914 5.828
5.828 5.828 5.828
9.593 7.891 7.891
4.410 7.246 4.410
4.410 4.410 7.246
7.246 7.246 7.246
7.891 9.593 7.891
7.891 7.891 9.593
9.593 9.593 9.593
4.410 7.246 7.246
```

Calculated values
calculated volume: 13.7 Å³/atom
symmetry: Fm-3m (225)
M_tot: 15.367 μB per formula unit

***

Compound: InCuAu
Source: Alexandria via LeMat-Bulk
Functional: meta-GGA SCAN
Structure: PBEsol geometry

Cell and atoms, written as POSCAR:
```
InCuAu
1.0
-1.711 1.711 4.261
1.711 -1.711 4.261
1.711 1.711 -4.261
In Cu Au
1 1 1
Cartesian
0.000 0.000 0.000
0.000 0.000 5.693
0.000 0.000 2.752
```

Calculated values
calculated volume: 16.6 Å³/atom
symmetry: I4mm (107)
ΔE to the lowest computed polymorph: 0.0 kJ per mole of atoms
M_tot: 0.000 μB per formula unit

***

Compound: Pt2W
Source: Alexandria via LeMat-Bulk
Functional: meta-GGA SCAN
Structure: PBEsol geometry

Cell and atoms, written as POSCAR:
```
Pt2W
1.0
4.136 -2.407 0.000
4.136 2.407 0.000
0.000 0.000 4.515
Pt W
4 2
Cartesian
2.775 1.554 3.386
5.497 1.554 3.386
2.775 -1.554 1.129
5.497 -1.554 1.129
4.136 0.865 1.129
4.136 -0.865 3.386
```

Calculated values
calculated volume: 15.0 Å³/atom
symmetry: Cmcm (63)
ΔE to the lowest computed polymorph: 0.8 kJ per mole of atoms
M_tot: 0.000 μB per formula unit

***

Compound: MnZn2Cd
Source: Alexandria via LeMat-Bulk
Functional: meta-GGA SCAN
Structure: PBEsol geometry

Cell and atoms, written as POSCAR:
```
MnZn2Cd
1.0
2.820 0.000 0.000
0.000 2.820 0.000
0.000 0.000 7.535
Mn Zn Cd
1 2 1
Cartesian
0.000 0.000 0.000
1.410 1.410 1.642
1.410 1.410 5.892
0.000 0.000 3.767
```

Calculated values
calculated volume: 15.0 Å³/atom
symmetry: P4/mmm (123)
M_tot: 3.292 μB per formula unit

***

Compound: CaLaRh4
Source: Alexandria via LeMat-Bulk
Functional: meta-GGA SCAN
Structure: PBEsol geometry

Cell and atoms, written as POSCAR:
```
CaLaRh4
1.0
0.000 3.757 3.757
3.757 0.000 3.757
3.757 3.757 0.000
Ca La Rh
1 1 4
Cartesian
0.000 0.000 0.000
5.636 5.636 5.636
2.816 2.816 2.816
4.698 4.698 2.816
4.698 2.816 4.698
2.816 4.698 4.698
```

Calculated values
calculated volume: 17.7 Å³/atom
symmetry: F-43m (216)
M_tot: 0.000 μB per formula unit

***

Number 1: ΔE_f -0.95 kcal/mol of atoms. Number 2: ΔE_f 13.17 kcal/mol of atoms. Number 3: ΔE_f 3.82 kcal/mol of atoms. Number 4: ΔE_f -2.75 kcal/mol of atoms. Number 5: ΔE_f -1.98 kcal/mol of atoms. Number 6: ΔE_f -8.92 kcal/mol of atoms. Number 7: ΔE_f -0.75 kcal/mol of atoms. Number 8: ΔE_f -14.29 kcal/mol of atoms.